Entry from Alexandria: Ta2TlZn after structural relaxation (GGA-PBEsol).

Values from the calculation:
**E_form**: 0.23 eV/atom
**Symmetry**: Cmm2 (35)
**Density of states at the Fermi level**: 0.55 states/eV per atom
**Magnetization**: 0.00 μB per formula unit

The structure in POSCAR format:
```
Ta2TlZn
1.0
2.959 0.012 0.000
-1.014 2.780 0.000
0.000 0.000 8.968
Ta Zn Tl
2 1 1
direct
0.000 0.000 0.004
0.500 0.500 0.766
0.500 0.500 0.237
0.000 0.000 0.492
```